Entry 1:
Here is Cr2NiPb at its PBEsol-relaxed geometry from Alexandria. Energies are from meta-GGA SCAN.

Summary:
N(E_F) = 1.545 states/eV per cell
space-group type = I-4m2
ΔE_f = 0.16 eV/atom
size of the total moment = 0.05 μB per atom
electronic total energy = -32.024 eV per atom

a = 4.6905 Å, b = 4.6905 Å, c = 4.6905 Å
α = 130.32°, β = 130.32°, γ = 72.90°
Closest atoms and distances in Å follow each position.
Sites, in units of the cell vectors:
Cr1 0.0000 0.0000 0.0000  4 Cr 2.73, 4 Pb 2.73, 4 Ni 2.79
Cr2 0.7500 0.2500 0.5000  4 Cr 2.73, 4 Ni 2.73, 4 Pb 2.79
Ni1 0.5000 0.5000 0.0000  8 Cr 2.73-2.79, 4 Pb 2.73
Pb1 0.2500 0.7500 0.5000  8 Cr 2.73-2.79, 4 Ni 2.73

---

Entry 2:
Here is SrLi4Hg at its PBEsol-relaxed geometry from Alexandria. Energies are from meta-GGA SCAN.

Summary:
N(E_F) = 4.553 states/eV per cell
space-group type = F-43m
ΔE_f = -0.17 eV/atom
size of the total moment = 0.01 μB per atom
electronic total energy = -16.834 eV per atom

a = 5.6771 Å, b = 5.6771 Å, c = 5.6771 Å
α = 60.00°, β = 60.00°, γ = 60.00°
Closest atoms and distances in Å follow each position.
Sites, in units of the cell vectors:
Sr1 0.0000 0.0000 0.0000  12 Li 3.34, 4 Hg 3.48
Li1 0.1342 0.6219 0.6219  6 Li 2.77-2.91
Li2 0.6219 0.1342 0.6219  6 Li 2.77-2.91
Li3 0.6219 0.6219 0.1342  6 Li 2.77-2.91
Li4 0.6219 0.6219 0.6219  6 Li 2.77-2.91
Hg1 0.2500 0.2500 0.2500  12 Li 3.32, 4 Sr 3.48

---

Entry 3:
Here is ZnCr2Fe at its PBEsol-relaxed geometry from Alexandria. Energies are from meta-GGA SCAN.

Summary:
N(E_F) = 2.498 states/eV per cell
space-group type = I4/mmm
ΔE_f = 0.21 eV/atom
size of the total moment = 0.61 μB per atom
electronic total energy = -16.892 eV per atom

a = 4.5831 Å, b = 4.5831 Å, c = 4.5831 Å
α = 136.28°, β = 136.28°, γ = 63.54°
Closest atoms and distances in Å follow each position.
Sites, in units of the cell vectors:
Zn1 0.0000 0.0000 0.0000  4 Fe 2.41, 8 Cr 2.59
Cr1 0.2500 0.7500 0.5000  4 Cr 2.41, 4 Fe 2.59, 4 Zn 2.59
Cr2 0.7500 0.2500 0.5000  4 Cr 2.41, 4 Fe 2.59, 4 Zn 2.59
Fe1 0.5000 0.5000 0.0000  4 Zn 2.41, 8 Cr 2.59

---

Entry 4:
Here is K2SbTe at its PBEsol-relaxed geometry from Alexandria. Energies are from meta-GGA SCAN.

Summary:
N(E_F) = 1.696 states/eV per cell
space-group type = P4mm
formation energy from raw total energies = -0.33 eV per atom
size of the total moment = 0.02 μB per atom
electronic total energy = -23.125 eV per atom

a = 4.2260 Å, b = 4.2260 Å, c = 9.9077 Å
α = 90.00°, β = 90.00°, γ = 90.00°
Closest atoms and distances in Å follow each position.
Sites, in units of the cell vectors:
K1 0.0000 0.0000 0.0000  1 Sb 3.34
K2 0.5000 0.5000 0.4103  1 Te 3.34
Sb1 0.0000 0.0000 0.6634  4 Te 3.10, 1 K 3.34
Te1 0.5000 0.5000 0.7477  4 Sb 3.10, 1 K 3.34

---

Which of these has the highest N(E_F)?
SrLi4Hg